Entry 1:
DFT (PBE-GGA) results for a geometry-optimized Ba2PrEu structure.

excess energy over the best structure of this formula in the dataset	38	meV/atom

```
Ba2PrEu
1.0
-6.464 -0.280 0.891
-2.446 -3.055 5.229
-2.789 3.453 4.791
Ba Pr Eu
2 1 1
Cartesian
-2.925 0.029 2.728 Ba
-8.774 0.088 8.183 Ba
-5.850 0.059 5.455 Pr
0.000 0.000 0.000 Eu
```

---

Entry 2:
DFT (PBE-GGA) results for a geometry-optimized Ni2Ag2Pd structure.

excess energy over the best structure of this formula in the dataset	0	meV/atom

```
Ni2Ag2Pd
1.0
-6.665 2.508 -0.794
-2.584 -6.646 0.696
-0.202 0.383 2.905
Ag Pd Ni
4 2 4
Cartesian
-6.750 -3.557 1.484 Ag
-3.054 -3.875 1.783 Ag
-6.396 0.119 1.024 Ag
-2.700 -0.199 1.323 Ag
0.000 0.000 0.000 Pd
-4.624 -2.069 -0.049 Pd
-7.480 -1.885 -0.272 Ni
-4.413 0.771 -0.408 Ni
-1.769 -2.254 0.174 Ni
-4.836 -4.909 0.310 Ni
```

---

Entry 3:
DFT (PBE-GGA) results for a geometry-optimized Tb3NdDy2 structure.

excess energy over the best structure of this formula in the dataset	0	meV/atom

```
Tb3NdDy2
1.0
6.956 -1.161 -1.456
-4.098 9.362 -0.394
-2.167 0.713 6.826
Tb Nd Dy
6 2 4
Cartesian
-1.395 3.361 3.946 Tb
-0.311 3.014 0.534 Tb
0.576 8.668 0.220 Tb
0.115 0.247 4.756 Tb
1.002 5.900 4.443 Tb
2.087 5.554 1.030 Tb
1.200 -0.109 1.343 Nd
-0.508 9.023 3.633 Nd
-2.478 6.492 5.170 Dy
2.085 2.789 3.220 Dy
3.169 2.423 -0.194 Dy
-1.394 6.125 1.756 Dy
```

---

Entry 4:
DFT (PBE-GGA) results for a geometry-optimized LaNi5Sn7 structure.

uncorrected energy	-4.938	eV per atom

```
LaNi5Sn7
1.0
-0.255 4.203 3.900
-5.538 -0.660 4.572
3.972 -1.295 5.878
Ni Sn La
5 7 1
Cartesian
-1.371 1.660 10.790 Ni
-2.673 -0.245 2.356 Ni
-2.791 1.702 4.162 Ni
1.769 1.397 4.789 Ni
1.887 -0.549 2.982 Ni
-0.437 0.647 3.497 Sn
-3.872 1.503 6.573 Sn
-2.676 3.168 9.080 Sn
-1.132 0.084 8.281 Sn
0.530 2.954 9.520 Sn
-0.714 2.046 6.194 Sn
2.127 1.102 7.397 Sn
-0.260 4.177 3.927 La
```

---

Entry 5:
DFT (PBE-GGA) results for a geometry-optimized Pr6TmSc2 structure.

uncorrected energy	-4.924	eV per atom

```
Pr6TmSc2
1.0
-2.816 2.275 -0.143
-5.230 -6.785 -5.035
-5.785 -6.891 4.218
Pr Sc Tm
6 2 1
Cartesian
-10.262 -6.867 0.950 Pr
-3.765 -4.571 1.367 Pr
-3.568 -4.533 -1.911 Pr
-7.017 -5.720 1.218 Pr
-10.066 -6.830 -2.328 Pr
-6.813 -5.681 -2.179 Pr
-10.510 -10.164 -0.747 Sc
-3.320 -1.236 -0.214 Sc
0.000 0.000 0.000 Tm
```

---

Entry 6:
DFT (PBE-GGA) results for a geometry-optimized Pm2Ag2Pd15 structure.

uncorrected energy	-5.221	eV per atom

```
Pm2Ag2Pd15
1.0
7.005 0.031 0.028
0.940 6.942 0.028
0.940 0.825 6.893
Pd Pm Ag
15 2 2
Cartesian
0.470 3.471 0.014 Pd
5.349 4.694 1.152 Pd
3.537 6.115 2.418 Pd
0.470 0.413 3.447 Pd
3.537 3.104 5.797 Pd
0.940 2.730 4.755 Pd
5.117 2.183 0.028 Pd
6.522 2.714 2.418 Pd
5.117 0.279 2.166 Pd
2.363 5.085 4.531 Pd
3.503 0.016 0.014 Pd
2.829 4.790 0.028 Pd
5.349 1.683 4.531 Pd
0.940 5.037 2.166 Pd
2.829 0.578 4.755 Pd
5.847 5.132 4.573 Pm
3.038 2.667 2.376 Pm
8.008 7.028 6.263 Ag
0.878 0.770 0.686 Ag
```

---

Entry 7:
DFT (PBE-GGA) results for a geometry-optimized HfPaZn4 structure.

excess energy over the best structure of this formula in the dataset	0	meV/atom

```
HfPaZn4
1.0
3.110 0.000 0.011
0.000 4.477 0.000
-0.027 0.000 7.811
Zn Hf Pa
4 1 1
Cartesian
-0.022 2.238 6.404 Zn
3.105 2.238 1.417 Zn
3.101 0.000 2.685 Zn
-0.017 0.000 5.136 Zn
1.542 2.238 3.911 Hf
1.555 0.000 0.005 Pa
```

---

Entry 8:
DFT (PBE-GGA) results for a geometry-optimized BaAcInAg structure.

excess energy over the best structure of this formula in the dataset	0	meV/atom

```
BaAcInAg
1.0
-0.593 3.275 -2.318
0.070 -2.334 -3.316
-8.402 -1.100 0.596
Ac Ba Ag In
1 1 1 1
Cartesian
-3.112 -0.408 0.221 Ac
-7.135 -0.934 0.506 Ba
-5.160 -0.171 -2.469 Ag
-1.314 0.332 -2.742 In
```

---

Entry 9:
DFT (PBE-GGA) results for a geometry-optimized NdSmEr2P4 structure.

uncorrected energy	-6.607	eV per atom

```
NdSmEr2P4
1.0
-1.219 -3.295 2.027
-0.419 -3.557 -6.034
6.162 -3.096 -1.326
Nd P Er Sm
1 4 2 1
Cartesian
-0.819 -3.426 -2.003 Nd
0.253 -4.936 0.246 P
4.270 -5.012 -5.578 P
0.602 -5.119 -3.900 P
3.921 -4.830 -1.433 P
2.471 -3.196 0.351 Er
6.162 -3.096 -1.326 Er
2.872 -3.327 -3.680 Sm
```

---

Entry 10:
DFT (PBE-GGA) results for a geometry-optimized Zn2Cu3 structure.

excess energy over the best structure of this formula in the dataset	0	meV/atom

```
Zn2Cu3
1.0
4.955 0.037 0.000
-2.707 4.150 0.000
1.124 2.093 6.236
Cu Zn
6 4
Cartesian
2.119 3.947 0.000 Cu
2.368 3.618 5.001 Cu
3.472 1.872 3.118 Cu
0.583 1.879 1.235 Cu
-0.110 3.600 4.353 Cu
-0.770 3.954 1.883 Cu
0.836 5.603 5.613 Zn
1.066 1.435 3.741 Zn
3.084 1.700 0.623 Zn
1.730 3.775 2.495 Zn
```

---

Entry 11:
DFT (PBE-GGA) results for a geometry-optimized TlV2As2 structure.

uncorrected energy	-6.038	eV per atom

```
TlV2As2
1.0
7.235 0.000 0.000
0.000 7.235 0.000
0.000 0.000 3.256
As V Tl
4 4 2
Cartesian
1.059 4.676 1.628 As
4.676 6.176 1.628 As
2.559 1.059 1.628 As
6.176 2.559 1.628 As
4.597 0.979 0.000 V
0.979 2.638 0.000 V
6.255 4.597 0.000 V
2.638 6.255 0.000 V
0.000 0.000 0.000 Tl
3.617 3.617 0.000 Tl
```

---

Entry 12:
DFT (PBE-GGA) results for a geometry-optimized Mg2Ga3Ag6 structure.

uncorrected energy	-2.768	eV per atom

```
Mg2Ga3Ag6
1.0
-0.522 4.602 5.243
-4.037 -1.196 2.800
-3.177 1.270 14.896
Mg Ag Ga
2 6 3
Cartesian
-5.681 2.670 16.414 Mg
-2.055 2.007 6.526 Mg
-4.613 3.334 13.809 Ag
-6.902 2.522 18.991 Ag
-3.123 1.342 9.131 Ag
-2.044 3.996 8.603 Ag
-0.834 2.155 3.948 Ag
-5.692 0.680 14.337 Ag
0.000 0.000 0.000 Ga
-3.502 3.791 11.115 Ga
-4.234 0.885 11.825 Ga
```

---

| no. | total moment (μB per formula unit) |
| --- | --- |
| 1 | 7.273 |
| 2 | 1.022 |
| 3 | 0.000 |
| 4 | 0.000 |
| 5 | 0.000 |
| 6 | 0.000 |
| 7 | 0.000 |
| 8 | 0.000 |
| 9 | 0.000 |
| 10 | 0.000 |
| 11 | 0.000 |
| 12 | 0.000 |